(1)
The following is a GGA-PBE calculation of HoPaB after structural relaxation, from OQMD via LeMat-Bulk.

Cell: 4.4211 4.4211 4.4211 Å, 60.00 60.00 60.00°
Atoms (fractional coordinates):
B 0.0000 0.0000 0.0000
Ho 0.2500 0.2500 0.2500
Pa 0.7500 0.7500 0.7500

Results
The volume comes out at 61.1 Å³/cell. As for the energy above the most stable polymorph in this dataset: 0.00 eV/f.u. For the magnetic moment, the calculation gives 0.0027 μB per atom. The density is 11.054 g/cm³.

***

(2)
The following is a GGA-PBE calculation of MoPt2 after structural relaxation, from OQMD via LeMat-Bulk.

Cell: 2.7772 3.9623 4.8201 Å, 114.27 106.74 90.00°
Atoms (fractional coordinates):
Pt 0.6634 0.6634 0.3268
Pt 0.3366 0.3366 0.6732
Mo 0.0000 0.0000 0.0000

Results
The volume comes out at 45.9 Å³/cell. The formation energy comes out at -365 meV/atom. As for the energy above the most stable polymorph in this dataset: 0.00 eV/f.u. For the magnetic moment, the calculation gives 0.0006 μB per atom. The density is 17.596 g/cm³.

***

(3)
The following is a GGA-PBE calculation of ZrBeSi after structural relaxation, from OQMD via LeMat-Bulk.

Cell: 5.3927 3.7451 8.9945 Å, 90.00 90.00 90.00°
Atoms (fractional coordinates):
Be 0.7010 0.2500 0.2016
Be 0.7990 0.7500 0.7016
Be 0.2990 0.7500 0.7984
Be 0.2010 0.2500 0.2984
Zr 0.8795 0.7500 0.3824
Zr 0.6205 0.2500 0.8824
Zr 0.3795 0.7500 0.1176
Zr 0.1205 0.2500 0.6176
Si 0.8763 0.7500 0.0716
Si 0.3763 0.7500 0.4284
Si 0.6237 0.2500 0.5716
Si 0.1237 0.2500 0.9284

Results
The volume comes out at 181.7 Å³/cell. As for the energy above the most stable polymorph in this dataset: 1.17 eV/f.u. For the magnetic moment, the calculation gives 0.0005 μB per atom. The density is 4.692 g/cm³.

***

(4)
The following is a GGA-PBE calculation of HfTlNiHg after structural relaxation, from OQMD via LeMat-Bulk.

Cell: 4.7806 4.7806 4.7806 Å, 60.00 60.00 60.00°
Atoms (fractional coordinates):
Ni 0.7500 0.7500 0.7500
Hf 0.5000 0.5000 0.5000
Hg 0.2500 0.2500 0.2500
Tl 0.0000 0.0000 0.0000

Results
The volume comes out at 77.3 Å³/cell. As for the energy above the most stable polymorph in this dataset: 0.00 eV/f.u. For the magnetic moment, the calculation gives 0.0004 μB per atom. The density is 13.803 g/cm³.

***

(5)
The following is a GGA-PBE calculation of Cu2Ag3 after structural relaxation, from OQMD via LeMat-Bulk.

Cell: 4.8973 4.8973 8.8619 Å, 90.59 90.59 46.75°
Atoms (fractional coordinates):
Cu 0.9504 0.9504 0.1522
Cu 0.8506 0.8506 0.4503
Cu 0.0496 0.0496 0.8478
Cu 0.1494 0.1494 0.5497
Ag 0.6464 0.6464 0.0493
Ag 0.5515 0.5515 0.3547
Ag 0.7443 0.7443 0.7419
Ag 0.3536 0.3536 0.9507
Ag 0.2557 0.2557 0.2581
Ag 0.4485 0.4485 0.6453

Results
The volume comes out at 154.8 Å³/cell. The formation energy comes out at 96 meV/atom. As for the energy above the most stable polymorph in this dataset: 0.32 eV/f.u. The density is 9.669 g/cm³.

***

(6)
The following is a GGA-PBE calculation of AlZnPb after structural relaxation, from OQMD via LeMat-Bulk.

Cell: 4.6428 4.6428 4.6428 Å, 60.00 60.00 60.00°
Atoms (fractional coordinates):
Pb 0.7500 0.7500 0.7500
Zn 0.0000 0.0000 0.0000
Al 0.2500 0.2500 0.2500

Results
The volume comes out at 70.8 Å³/cell. As for the energy above the most stable polymorph in this dataset: 0.00 eV/f.u. The density is 7.030 g/cm³.

***

(7)
The following is a GGA-PBE calculation of BaHgSeO after structural relaxation, from OQMD via LeMat-Bulk.

Cell: 6.0991 6.0991 7.3809 Å, 90.00 90.00 90.00°
Atoms (fractional coordinates):
Se 0.7500 0.7500 0.8381
Se 0.2500 0.2500 0.1619
Hg 0.7500 0.7500 0.2948
Hg 0.2500 0.2500 0.7052
O 0.7500 0.7500 0.5945
O 0.2500 0.2500 0.4055
Ba 0.2500 0.7500 0.0000
Ba 0.7500 0.2500 0.0000

Results
The volume comes out at 274.6 Å³/cell. The density is 5.236 g/cm³. The total energy is -3.4637 eV per atom.

***

(8)
The following is a GGA-PBE calculation of K3HoP2O8 after structural relaxation, from OQMD via LeMat-Bulk.

Cell: 7.3258 5.5840 9.3093 Å, 90.00 90.74 90.00°
Atoms (fractional coordinates):
O 0.9799 0.7500 0.9589
O 0.1498 0.4763 0.3344
O 0.7155 0.2500 0.9238
O 0.2396 0.5235 0.8396
O 0.2396 0.9765 0.8396
O 0.1711 0.2500 0.5702
O 0.7604 0.0235 0.1604
O 0.7604 0.4765 0.1604
O 0.4377 0.2500 0.3967
O 0.8289 0.7500 0.4298
O 0.2845 0.7500 0.0762
O 0.0201 0.2500 0.0411
O 0.1498 0.0237 0.3344
O 0.5623 0.7500 0.6033
O 0.8502 0.9763 0.6656
O 0.8502 0.5237 0.6656
P 0.8140 0.2500 0.0731
P 0.2293 0.2500 0.4102
P 0.7707 0.7500 0.5898
P 0.1860 0.7500 0.9269
K 0.3663 0.2500 0.0887
K 0.4961 0.7500 0.3077
K 0.5039 0.2500 0.6923
K 0.6337 0.7500 0.9113
K 0.2044 0.7500 0.5809
K 0.7956 0.2500 0.4191
Ho 0.9932 0.7500 0.2105
Ho 0.0068 0.2500 0.7895

Results
The volume comes out at 380.8 Å³/cell. For the magnetic moment, the calculation gives 0.0002 μB per atom. The density is 4.118 g/cm³. The total energy is -6.7489 eV per atom.

***

(9)
The following is a GGA-PBE calculation of Y4CoAuN2 after structural relaxation, from OQMD via LeMat-Bulk.

Cell: 3.5105 3.5105 13.9252 Å, 90.00 90.00 120.00°
Atoms (fractional coordinates):
Au 0.3333 0.6667 0.5000
Y 0.6667 0.3333 0.3370
Y 0.6667 0.3333 0.6630
Y 0.3333 0.6667 0.1387
Y 0.3333 0.6667 0.8613
N 0.0000 0.0000 0.7573
N 0.0000 0.0000 0.2427
Co 0.6667 0.3333 0.0000

Results
The volume comes out at 148.6 Å³/cell. As for the energy above the most stable polymorph in this dataset: 0.05 eV/f.u. For the magnetic moment, the calculation gives 0.0433 μB per atom. The density is 7.146 g/cm³.

***

(10)
The following is a GGA-PBE calculation of NbB4Mo after structural relaxation, from OQMD via LeMat-Bulk.

Cell: 3.0881 3.0881 6.5949 Å, 90.00 90.00 120.00°
Atoms (fractional coordinates):
B 0.6667 0.3333 0.2530
B 0.3333 0.6667 0.7470
B 0.3333 0.6667 0.2530
B 0.6667 0.3333 0.7470
Mo 0.0000 0.0000 0.5000
Nb 0.0000 0.0000 0.0000

Results
The volume comes out at 54.5 Å³/cell. As for the energy above the most stable polymorph in this dataset: 0.03 eV/f.u. For the magnetic moment, the calculation gives 0.0010 μB per atom. The density is 7.076 g/cm³.

***

(11)
The following is a GGA-PBE calculation of Nd2SmSi4Pd2Au2 after structural relaxation, from OQMD via LeMat-Bulk.

Cell: 12.7512 12.7512 12.7512 Å, 160.97 160.73 27.21°
Atoms (fractional coordinates):
Pd 0.2504 0.7504 0.5000
Pd 0.7496 0.2496 0.5000
Si 0.6976 0.6976 0.0000
Si 0.0477 0.5477 0.5000
Si 0.3024 0.3024 0.0000
Si 0.9523 0.4523 0.5000
Au 0.5970 0.5970 0.0000
Au 0.4030 0.4030 0.0000
Nd 0.8513 0.8513 0.0000
Nd 0.1487 0.1487 0.0000
Sm 0.5000 0.0000 0.5000

Results
The volume comes out at 223.0 Å³/cell. As for the energy above the most stable polymorph in this dataset: 0.00 eV/f.u. For the magnetic moment, the calculation gives 0.0035 μB per atom. The density is 8.621 g/cm³.

***

(12)
The following is a GGA-PBE calculation of HgAu15 after structural relaxation, from OQMD via LeMat-Bulk.

Cell: 5.8166 2.9053 45.5759 Å, 90.00 90.06 90.00°
Atoms (fractional coordinates):
Au 0.3735 0.0000 0.7063
Au 0.6249 0.5000 0.6602
Au 0.8749 0.0000 0.3402
Au 0.1255 0.5000 0.3859
Au 0.6266 0.5000 0.2018
Au 0.3751 0.0000 0.3399
Au 0.8748 0.0000 0.5229
Au 0.3755 0.0000 0.6141
Au 0.8752 0.0000 0.2469
Au 0.6265 0.5000 0.2937
Au 0.6245 0.5000 0.3859
Au 0.3750 0.0000 0.1570
Au 0.1251 0.5000 0.4770
Au 0.3735 0.0000 0.7982
Au 0.3750 0.0000 0.2481
Au 0.1234 0.5000 0.2018
Au 0.3748 0.0000 0.4313
Au 0.1235 0.5000 0.2937
Au 0.1248 0.5000 0.7531
Au 0.3752 0.0000 0.5230
Au 0.8752 0.0000 0.4314
Au 0.6250 0.5000 0.8430
Au 0.8766 0.0000 0.7982
Au 0.6248 0.5000 0.4770
Au 0.1248 0.5000 0.5686
Au 0.8765 0.0000 0.7063
Au 0.6250 0.5000 0.7519
Au 0.8745 0.0000 0.6142
Au 0.6252 0.5000 0.5686
Au 0.1251 0.5000 0.6598
Hg 0.8750 0.0000 0.1446
Hg 0.1250 0.5000 0.8554

Results
The volume comes out at 770.2 Å³/cell. The formation energy comes out at 40 meV/atom. As for the energy above the most stable polymorph in this dataset: 0.06 eV/f.u. The density is 13.605 g/cm³.

***

Question: The highest volume belongs to which entry?
Answer: HgAu15

***

Question: Which of these has the highest density?
Answer: MoPt2

***

Please write out number 12 again, unchanged.
The following is a GGA-PBE calculation of HgAu15 after structural relaxation, from OQMD via LeMat-Bulk.

Cell: 5.8166 2.9053 45.5759 Å, 90.00 90.06 90.00°
Atoms (fractional coordinates):
Au 0.3735 0.0000 0.7063
Au 0.6249 0.5000 0.6602
Au 0.8749 0.0000 0.3402
Au 0.1255 0.5000 0.3859
Au 0.6266 0.5000 0.2018
Au 0.3751 0.0000 0.3399
Au 0.8748 0.0000 0.5229
Au 0.3755 0.0000 0.6141
Au 0.8752 0.0000 0.2469
Au 0.6265 0.5000 0.2937
Au 0.6245 0.5000 0.3859
Au 0.3750 0.0000 0.1570
Au 0.1251 0.5000 0.4770
Au 0.3735 0.0000 0.7982
Au 0.3750 0.0000 0.2481
Au 0.1234 0.5000 0.2018
Au 0.3748 0.0000 0.4313
Au 0.1235 0.5000 0.2937
Au 0.1248 0.5000 0.7531
Au 0.3752 0.0000 0.5230
Au 0.8752 0.0000 0.4314
Au 0.6250 0.5000 0.8430
Au 0.8766 0.0000 0.7982
Au 0.6248 0.5000 0.4770
Au 0.1248 0.5000 0.5686
Au 0.8765 0.0000 0.7063
Au 0.6250 0.5000 0.7519
Au 0.8745 0.0000 0.6142
Au 0.6252 0.5000 0.5686
Au 0.1251 0.5000 0.6598
Hg 0.8750 0.0000 0.1446
Hg 0.1250 0.5000 0.8554

Results
The volume comes out at 770.2 Å³/cell. The formation energy comes out at 40 meV/atom. As for the energy above the most stable polymorph in this dataset: 0.06 eV/f.u. The density is 13.605 g/cm³.